Below is a relaxed structure of Cr4SiOs, with properties calculated at the PBE-GGA level.

Cell and atoms, written as POSCAR:
```
Cr4SiOs
1.0
0.0000 3.3292 3.3292
3.3292 0.0000 3.3292
3.3292 3.3292 0.0000
Cr Os Si
4 1 1
direct
0.3724 0.3724 0.3724
0.3724 0.3724 0.8827
0.8827 0.3724 0.3724
0.3724 0.8827 0.3724
0.7500 0.7500 0.7500
0.0000 0.0000 0.0000
```

E: -54.37 eV for the cell shown
total magnetic moment: 0.0 μB per cell
density of states at the Fermi level: 1.27 states/eV per atom

Below is a relaxed structure of CrSiOs2, with properties calculated at the PBE-GGA level.

Cell and atoms, written as POSCAR:
```
CrSiOs2
1.0
3.9600 0.0000 0.0000
0.0000 2.7356 -0.1386
0.0000 1.6115 4.9146
Os Si Cr
2 1 1
direct
0.5000 0.4376 0.2498
0.0000 0.0614 0.0021
0.0000 0.2996 0.5250
0.5000 0.7014 0.7231
```

E: -37.60 eV for the cell shown
total magnetic moment: 1.3 μB per cell
density of states at the Fermi level: 1.02 states/eV per atom